Arrangement a

A plane-wave DFT calculation with PBE was carried out for a relaxed Ho2Cd3Cu2 crystal.

The structure in POSCAR format:
```
Ho2Cd3Cu2
1.0
3.617 0.000 0.000
0.000 4.225 0.000
0.000 -2.113 9.974
Ho Cd Cu
2 3 2
Cartesian
0.000 0.000 3.420
0.000 2.113 6.553
1.808 2.113 1.531
1.808 0.000 8.442
0.000 0.000 0.000
1.808 0.000 5.679
1.808 2.113 4.295
```

The value obtained for the theoretical density is 8.65 Mg/m³. The crystal system is orthorhombic.

=====

Arrangement b

A plane-wave DFT calculation with PBE was carried out for a relaxed Ho2Cd3Cu2 crystal.

The structure in POSCAR format:
```
Ho2Cd3Cu2
1.0
4.415 0.000 0.000
-2.207 4.511 -1.831
0.000 0.070 7.338
Cu Cd Ho
2 3 2
Cartesian
0.000 1.439 0.841
2.207 3.141 4.666
2.207 0.000 0.000
0.000 3.381 2.757
2.207 1.199 2.751
0.000 1.292 5.254
2.207 3.289 0.253
```

The value obtained for the theoretical density is 8.99 Mg/m³. The crystal system is monoclinic.

=====

Calculated relative energies: arrangement a 1.0; arrangement b 0.0, given in kJ/mol of atoms

=====

Arrangement a

A plane-wave DFT calculation with PBE was carried out for a relaxed TbHoCdCu crystal.

The structure in POSCAR format:
```
TbHoCdCu
1.0
3.512 0.000 0.000
0.000 3.512 0.000
0.000 0.000 7.639
Tb Cu Ho Cd
1 1 1 1
Cartesian
0.000 0.000 6.333
1.756 1.756 4.604
0.000 0.000 2.948
1.756 1.756 0.842
```

The value obtained for the theoretical density is 8.81 Mg/m³. The crystal system is tetragonal.

=====

Arrangement b

A plane-wave DFT calculation with PBE was carried out for a relaxed TbHoCdCu crystal.

The structure in POSCAR format:
```
TbHoCdCu
1.0
-4.034 -3.080 -0.649
0.143 -4.806 1.750
-2.865 -1.345 4.021
Cu Cd Ho Tb
1 1 1 1
Cartesian
-1.689 -2.308 1.281
-5.067 -6.924 3.842
0.000 0.000 0.000
-3.378 -4.616 2.561
```

The value obtained for the theoretical density is 8.76 Mg/m³. The crystal system is cubic.

=====

Calculated relative energies: arrangement a 0.0; arrangement b 4.4, given in kJ/mol of atoms

=====

Arrangement a

A plane-wave DFT calculation with PBE was carried out for a relaxed CdCuI3 crystal.

The structure in POSCAR format:
```
CdCuI3
1.0
-5.426 0.013 -0.611
-0.118 -5.378 0.935
-0.600 0.942 5.345
I Cd Cu
3 1 1
Cartesian
-0.059 -2.689 0.468
-2.713 0.006 -0.306
-0.300 0.471 2.672
-3.072 -2.211 2.834
0.000 0.000 0.000
```

The value obtained for the theoretical density is 5.68 Mg/m³. The crystal system is cubic.

=====

Arrangement b

A plane-wave DFT calculation with PBE was carried out for a relaxed CdCuI3 crystal.

The structure in POSCAR format:
```
CdCuI3
1.0
4.403 0.000 0.000
-2.202 7.466 0.161
0.000 -2.088 13.095
Cd I Cu
2 6 2
Cartesian
2.202 4.743 9.546
0.000 0.635 3.710
2.202 1.087 5.445
0.000 2.039 1.301
2.202 3.339 11.955
2.202 5.226 3.401
0.000 4.291 7.811
0.000 0.152 9.855
0.000 4.224 2.554
2.202 1.154 10.702
```

The value obtained for the theoretical density is 4.28 Mg/m³. The crystal system is monoclinic.

=====

Calculated relative energies: arrangement a 45.1; arrangement b 0.0, given in kJ/mol of atoms